SrSc2Sn2 | PBE | optimized geometry

a = 8.836 Å, b = 8.836 Å, c = 3.463 Å
α = 90.00°, β = 90.00°, γ = 90.00°
Each line ends with the local moment (μB).
Fractional positions:
Sc 0.132 0.632 0.500  0.13
Sc 0.632 0.868 0.500  0.12
Sc 0.868 0.368 0.500  0.13
Sc 0.368 0.132 0.500  0.12
Sr 0.000 0.000 0.000  0.01
Sr 0.500 0.500 0.000  0.01
Sn 0.338 0.838 0.000  0.00
Sn 0.838 0.662 0.000  0.00
Sn 0.662 0.162 0.000  0.00
Sn 0.162 0.338 0.000  0.00

Computed properties:
- offset from the most stable computed form (meV per atom) = 49